[1]
A plane-wave DFT calculation with GGA-PBE was carried out for a relaxed CoTeP2I crystal.

Cell and atoms, written as extended XYZ:
```
5
Lattice="-1.403 0.828 -4.096 5.137 -0.732 -1.908 -0.828 -4.290 -0.583" Properties=species:S:1:pos:R:3 pbc="T T T"
P -0.702 0.414 -2.048
P -0.414 -2.145 -0.292
I 2.568 -0.366 -0.954
Co 0.000 0.000 0.000
Te 1.453 -2.097 -3.293
```

Calculated values
crystal system: tetragonal
space-group type: P4/mmm (123)
raw total energy: -3.97 eV per atom

=====

[2]
A plane-wave DFT calculation with GGA-PBE was carried out for a relaxed Sm2TlTe crystal.

Cell and atoms, written as extended XYZ:
```
4
Lattice="4.282 0.013 0.016 2.129 3.715 0.016 2.110 1.227 7.949" Properties=species:S:1:pos:R:3 pbc="T T T"
Sm 6.391 3.716 6.022
Sm 2.130 1.239 1.959
Te 0.000 0.000 0.000
Tl 4.261 2.478 3.990
```

Calculated values
crystal system: trigonal
space-group type: R-3m (166)
raw total energy: -4.60 eV per atom

=====

[3]
A plane-wave DFT calculation with GGA-PBE was carried out for a relaxed BeNiSe2 crystal.

Cell and atoms, written as extended XYZ:
```
4
Lattice="3.223 0.014 0.000 -0.014 3.223 0.000 0.000 0.000 6.946" Properties=species:S:1:pos:R:3 pbc="T T T"
Ni 1.604 1.618 5.050
Se 1.604 1.618 2.681
Se 0.000 0.000 5.978
Be 0.000 0.000 3.656
```

Calculated values
crystal system: tetragonal
space-group type: P4mm (99)
raw total energy: -4.28 eV per atom

=====

[4]
A plane-wave DFT calculation with GGA-PBE was carried out for a relaxed Dy2HoNi9 crystal.

Cell and atoms, written as extended XYZ:
```
12
Lattice="-2.007 -4.530 -0.068 -0.259 -2.658 4.174 -8.037 0.806 2.955" Properties=species:S:1:pos:R:3 pbc="T T T"
Ni -3.050 -4.137 4.533
Ni -7.383 -3.578 4.620
Ni -7.253 -2.245 2.527
Ni -9.542 -3.989 5.691
Ni -3.926 -5.076 2.406
Ni -5.152 -3.191 3.530
Ni -2.920 -2.805 2.441
Ni -0.761 -2.393 1.370
Ni -6.377 -1.307 4.654
Ho 0.000 0.000 0.000
Dy -5.298 -5.855 4.766
Dy -5.005 -0.527 2.294
```

Calculated values
crystal system: trigonal
ΔE_f: -416.4 meV per atom
space-group type: R-3m (166)

=====

[5]
A plane-wave DFT calculation with GGA-PBE was carried out for a relaxed TmMgCoRu crystal.

Cell and atoms, written as extended XYZ:
```
4
Lattice="4.535 0.000 0.000 2.268 3.928 0.000 2.268 1.309 3.703" Properties=species:S:1:pos:R:3 pbc="T T T"
Tm 4.535 2.618 1.851
Co 2.268 1.309 0.926
Mg 0.000 0.000 0.000
Ru 6.803 3.928 2.777
```

Calculated values
crystal system: cubic
ΔE_f: -58.6 meV per atom
space-group type: F-43m (216)

=====

[6]
A plane-wave DFT calculation with GGA-PBE was carried out for a relaxed ScVSeBr2 crystal.

Cell and atoms, written as extended XYZ:
```
5
Lattice="4.997 0.000 0.000 0.000 4.997 0.000 0.000 0.000 5.152" Properties=species:S:1:pos:R:3 pbc="T T T"
Br 0.000 2.498 0.000
Br 2.498 0.000 0.000
V 0.000 0.000 0.000
Sc 2.498 2.498 2.576
Se 0.000 0.000 2.576
```

Calculated values
crystal system: tetragonal
space-group type: P4/mmm (123)
raw total energy: -4.81 eV per atom

=====

Going through the records in order, we get size of the total moment values of 0.004; 0.000; 0.002; 0.089; 0.128; 0.799 μB/atom.